VASP calculation (PBE with a Hubbard U) on crystalline ReMoNO2 at its relaxed geometry.

Lattice parameters (Å, degrees): 3.877 3.877 4.055 90.00 90.00 90.00
Atoms (fractional coordinates):
1 Re 0.000 0.000 0.000
2 Mo 0.500 0.500 0.500
3 O 0.000 0.500 0.000
4 O 0.500 0.000 0.000
5 N 0.000 0.000 0.500

Computed properties:
Raw total energy = -7.85 eV per atom
Spin magnetization = 4.460 μB/f.u.